The following is a PBEsol calculation of an optimized crystal structure of CeBiW2O9, from Alexandria via LeMat-Bulk.

The total energy comes out at -8.861 eV/atom. As for the crystal system: monoclinic. For the magnetic moment, the calculation gives 4.18 Bohr magnetons per cell.

a b c (Å): 7.0769 7.0769 13.5738
angles (deg): 80.74 80.74 87.12
Closest atoms and distances in Å follow each position.
Fractional positions:
Ce 0.1654 0.1275 0.8806  8 O 2.34-2.62
Ce 0.8725 0.8346 0.6194  8 O 2.34-2.62
Ce 0.8346 0.8725 0.1194  8 O 2.34-2.62
Ce 0.1275 0.1654 0.3806  8 O 2.34-2.62
Bi 0.4788 0.6516 0.8630  5 O 2.27-2.54
Bi 0.3484 0.5212 0.6370  5 O 2.27-2.54
Bi 0.5212 0.3484 0.1370  5 O 2.27-2.54
Bi 0.6516 0.4788 0.3630  5 O 2.27-2.54
W 0.0038 0.5900 0.8814  4 O 1.80-1.92
W 0.4100 0.9962 0.6186  4 O 1.80-1.92
W 0.9962 0.4100 0.1186  4 O 1.80-1.92
W 0.5900 0.0038 0.3814  4 O 1.80-1.92
W 0.6900 0.1670 0.8664  5 O 1.83-2.01
W 0.8330 0.3100 0.6336  5 O 1.83-2.01
W 0.3100 0.8330 0.1336  5 O 1.83-2.01
W 0.1670 0.6900 0.3664  5 O 1.83-2.01
O 0.9118 0.3528 0.8685  1 W 1.87
O 0.6472 0.0882 0.6315  1 W 1.87
O 0.0882 0.6472 0.1315  1 W 1.87
O 0.3528 0.9118 0.3685  1 W 1.87
O 0.6347 0.3653 0.7500  2 W 2.01
O 0.3653 0.6347 0.2500  2 W 2.01
O 0.5034 0.0002 0.8615  1 W 1.83
O 0.9998 0.4966 0.6385  1 W 1.83
O 0.4966 0.9998 0.1385  1 W 1.83
O 0.0002 0.5034 0.3615  1 W 1.83
O 0.2461 0.4809 0.8076  1 W 2.03
O 0.5191 0.7539 0.6924  1 W 2.03
O 0.7539 0.5191 0.1924  1 W 2.03
O 0.4809 0.2461 0.3076  1 W 2.03
O 0.8549 0.7197 0.7966  1 W 1.80
O 0.2803 0.1451 0.7034  1 W 1.80
O 0.1451 0.2803 0.2034  1 W 1.80
O 0.7197 0.8549 0.2966  1 W 1.80
O 0.8870 0.1130 0.7500  2 W 2.00
O 0.1130 0.8870 0.2500  2 W 2.00
O 0.1802 0.7872 0.8812  1 W 1.92
O 0.2128 0.8198 0.6188  1 W 1.92
O 0.8198 0.2128 0.1188  1 W 1.92
O 0.7872 0.1802 0.3812  1 W 1.92
O 0.8540 0.6070 0.0042  1 W 1.84
O 0.3930 0.1460 0.4958  1 W 1.84
O 0.1460 0.3930 0.9958  1 W 1.84
O 0.6070 0.8540 0.5042  1 W 1.84
O 0.8339 0.0097 0.9505  1 W 1.85
O 0.9903 0.1661 0.5495  1 W 1.85
O 0.1661 0.9903 0.0495  1 W 1.85
O 0.0097 0.8339 0.4505  1 W 1.85
O 0.5475 0.3170 0.9509  1 W 1.84
O 0.6830 0.4525 0.5491  1 W 1.84
O 0.4525 0.6830 0.0491  1 W 1.84
O 0.3170 0.5475 0.4509  1 W 1.84

The following is a PBEsol calculation of an optimized crystal structure of LiAgP2, from Alexandria via LeMat-Bulk.

As for the crystal system: monoclinic. As for the formation enthalpy at 0 K: -131 meV per atom. For the magnetic moment, the calculation gives 0.00 Bohr magnetons per cell.

a b c (Å): 2.8452 4.0496 5.3665
angles (deg): 90.00 90.93 90.00
Closest atoms and distances in Å follow each position.
Fractional positions:
P 0.5067 0.0000 0.7053  1 P 2.20
P 0.4933 0.0000 0.2947  1 P 2.20
Ag 0.5000 0.5000 0.0000  4 P 2.57, 2 Ag 2.85
Li 0.0000 0.5000 0.5000  8 P 2.71, 2 Li 2.85, 2 Ag 3.02

The following is a PBEsol calculation of an optimized crystal structure of ZnPt2Pb2, from Alexandria via LeMat-Bulk.

As for the crystal system: tetragonal. As for the formation enthalpy at 0 K: 101 meV per atom. For the magnetic moment, the calculation gives 0.00 Bohr magnetons per cell.

a b c (Å): 3.8448 3.8448 8.0499
angles (deg): 103.82 103.82 90.00
Closest atoms and distances in Å follow each position.
Fractional positions:
Pb 0.3851 0.3851 0.7702  4 Pt 2.81
Pb 0.6149 0.6149 0.2298  4 Pt 2.81
Zn 0.0000 0.0000 0.0000  8 Pb 3.23
Pt 0.2500 0.7500 0.5000  4 Pt 2.72, 4 Pb 2.81
Pt 0.7500 0.2500 0.5000  4 Pt 2.72, 4 Pb 2.81

Repeat the third record exactly.
The following is a PBEsol calculation of an optimized crystal structure of ZnPt2Pb2, from Alexandria via LeMat-Bulk.

As for the crystal system: tetragonal. As for the formation enthalpy at 0 K: 101 meV per atom. For the magnetic moment, the calculation gives 0.00 Bohr magnetons per cell.

a b c (Å): 3.8448 3.8448 8.0499
angles (deg): 103.82 103.82 90.00
Closest atoms and distances in Å follow each position.
Fractional positions:
Pb 0.3851 0.3851 0.7702  4 Pt 2.81
Pb 0.6149 0.6149 0.2298  4 Pt 2.81
Zn 0.0000 0.0000 0.0000  8 Pb 3.23
Pt 0.2500 0.7500 0.5000  4 Pt 2.72, 4 Pb 2.81
Pt 0.7500 0.2500 0.5000  4 Pt 2.72, 4 Pb 2.81

Look up the magnetic moment of the first one. 4.18 Bohr magnetons per cell